1.
VASP calculation (PBE) on a relaxed CaPu2As3 crystal.

extended XYZ file:
```
12
Lattice="6.862 -3.014 0.000 6.862 3.014 0.000 0.000 0.000 7.973" Properties=species:S:1:pos:R:3 pbc="T T T"
Ca 6.862 2.532 5.980
Ca 6.862 -2.532 1.993
Pu 4.789 0.000 0.000
Pu 4.789 0.000 3.986
Pu 8.935 0.000 0.000
Pu 8.935 0.000 3.986
As 3.068 1.174 1.993
As 6.862 0.537 1.993
As 3.068 -1.174 5.980
As 10.655 1.174 1.993
As 6.862 -0.537 5.980
As 10.655 -1.174 5.980
```

Results
Its space group is Cmcm (63). For the total energy, the calculation gives -8.218 eV/atom. The energy relative to the lowest polymorph listed for this composition is 0.250 eV/atom. Its spin magnetization is 20.40 Bohr magnetons per cell.



2.
VASP calculation (PBE) on a relaxed TlTc2Mo crystal.

extended XYZ file:
```
4
Lattice="4.703 -1.480 0.000 4.703 1.480 0.000 -1.068 0.000 4.875" Properties=species:S:1:pos:R:3 pbc="T T T"
Tl 0.000 0.000 0.000
Tc 1.462 0.000 3.452
Tc 6.876 0.000 1.423
Mo 4.169 0.000 2.437
```

Results
Its space group is C2/m (12). For the total energy, the calculation gives -7.981 eV/atom. The energy relative to the lowest polymorph listed for this composition is 0.100 eV/atom. Its spin magnetization is 0.00 Bohr magnetons per cell.



3.
VASP calculation (PBE) on a relaxed PmSnSe3 crystal.

extended XYZ file:
```
20
Lattice="8.407 0.000 0.000 0.000 4.081 0.000 0.000 0.000 15.136" Properties=species:S:1:pos:R:3 pbc="T T T"
Pm 1.252 1.020 2.956
Pm 2.951 3.060 10.525
Pm 5.456 1.020 4.612
Pm 7.155 3.060 12.180
Sn 1.560 3.060 6.827
Sn 2.644 1.020 14.395
Sn 5.763 3.060 0.741
Sn 6.847 1.020 8.309
Se 0.044 3.060 9.426
Se 1.199 1.020 11.999
Se 1.240 3.060 0.744
Se 2.964 1.020 8.312
Se 3.004 3.060 4.430
Se 4.159 1.020 1.858
Se 4.248 3.060 13.279
Se 5.403 1.020 10.706
Se 5.443 3.060 6.825
Se 7.167 1.020 14.393
Se 7.208 3.060 3.138
Se 8.363 1.020 5.710
```

Results
Its space group is Pnma (62). For the total energy, the calculation gives -4.909 eV/atom. The energy relative to the elements, uncorrected is -1.068 eV/atom. The energy relative to the lowest polymorph listed for this composition is 0.000 eV/atom. Its spin magnetization is 0.00 Bohr magnetons per cell.



4.
VASP calculation (PBE) on a relaxed BeAsCl2 crystal.

extended XYZ file:
```
4
Lattice="1.552 0.896 11.611 -1.552 0.896 11.611 0.000 -1.792 11.611" Properties=species:S:1:pos:R:3 pbc="T T T"
Be 0.000 0.000 0.000
As 0.000 0.000 17.416
Cl 0.000 0.000 12.899
Cl 0.000 0.000 21.934
```

Results
Its space group is R-3m (166). For the total energy, the calculation gives -3.544 eV/atom. The energy relative to the elements, uncorrected is -0.527 eV/atom. The energy relative to the lowest polymorph listed for this composition is 0.000 eV/atom. Its spin magnetization is 0.00 Bohr magnetons per cell.



5.
VASP calculation (PBE) on a relaxed Sr2TcOs crystal.

extended XYZ file:
```
4
Lattice="3.214 0.000 0.000 0.000 3.992 0.000 -0.808 0.000 8.845" Properties=species:S:1:pos:R:3 pbc="T T T"
Sr 0.000 0.000 0.000
Sr 0.617 1.996 5.139
Tc 1.308 1.996 2.232
Os 2.436 0.000 2.938
```

Results
Its space group is Pm (6). For the total energy, the calculation gives -5.744 eV/atom. The energy relative to the lowest polymorph listed for this composition is 0.000 eV/atom. Its spin magnetization is 0.00 Bohr magnetons per cell.



6.
VASP calculation (PBE) on a relaxed Be2InCl crystal.

extended XYZ file:
```
4
Lattice="5.003 -1.484 0.000 5.003 1.484 0.000 -0.119 0.000 4.655" Properties=species:S:1:pos:R:3 pbc="T T T"
Be 0.000 0.000 0.000
Be 7.047 0.000 1.327
In 2.422 0.000 3.646
Cl 5.006 0.000 1.467
```

Results
Its space group is Cm (8). For the total energy, the calculation gives -2.722 eV/atom. The energy relative to the elements, uncorrected is 0.288 eV/atom. The energy relative to the lowest polymorph listed for this composition is 0.094 eV/atom. Its spin magnetization is 0.00 Bohr magnetons per cell.



Q: Which of these has the highest energy relative to the lowest polymorph listed for this composition?
A: CaPu2As3



Q: Number 4 is which compound?
A: BeAsCl2



Q: What is the spin magnetization in the fourth record?
A: 0.00 Bohr magnetons per cell